# 1
CeMnGe2Os | GGA-PBE | optimized geometry

abc: 4.0940 4.0940 6.0999
angles: 109.61 109.61 90.00
Closest atoms and distances in Å follow each position.
Positions (direct):
Mn 0.2500 0.7500 0.5000  4 Ge 2.48
Ce 0.0000 0.0000 0.0000  8 Ge 3.17, 4 Mn 3.38, 4 Os 3.38
Ge 0.6203 0.6203 0.2407  2 Os 2.48, 2 Mn 2.48, 1 Ge 2.58
Ge 0.3797 0.3797 0.7593  2 Mn 2.48, 2 Os 2.48, 1 Ge 2.58
Os 0.7500 0.2500 0.5000  4 Ge 2.48

Values from the calculation:
Its space group is I-4m2, No. 119. As for the raw total energy: -37.8 eV per cell.

# 2
Ce2MnGe6Pd | GGA-PBE | optimized geometry

abc: 6.5051 7.0556 8.8282
angles: 90.00 90.00 90.00
Closest atoms and distances in Å follow each position.
Positions (direct):
Ce 0.0000 0.2410 0.7513  1 Mn 3.20, 11 Ge 3.22-3.52, 1 Pd 3.37
Ce 0.5000 0.7590 0.7487  1 Mn 3.20, 11 Ge 3.22-3.52, 1 Pd 3.37
Ce 0.5000 0.7590 0.2513  1 Mn 3.20, 11 Ge 3.22-3.52, 1 Pd 3.37
Ce 0.0000 0.2410 0.2487  1 Mn 3.20, 11 Ge 3.22-3.52, 1 Pd 3.37
Ge 0.3084 0.0673 0.0000  1 Mn 2.29, 1 Ge 2.49
Ge 0.8100 0.5898 0.0000  1 Pd 2.43, 1 Ge 2.47, 1 Mn 2.58
Ge 0.1916 0.9327 0.5000  1 Mn 2.29, 1 Ge 2.49
Ge 0.5000 0.2433 0.7439  1 Mn 2.41, 1 Pd 2.51
Ge 0.0000 0.7567 0.2439  1 Mn 2.41, 1 Pd 2.51
Ge 0.5000 0.2433 0.2561  1 Mn 2.41, 1 Pd 2.51
Ge 0.6916 0.0673 0.0000  1 Mn 2.29, 1 Ge 2.49
Ge 0.3100 0.4102 0.5000  1 Pd 2.43, 1 Ge 2.47, 1 Mn 2.58
Ge 0.8084 0.9327 0.5000  1 Mn 2.29, 1 Ge 2.49
Ge 0.0000 0.7567 0.7561  1 Mn 2.41, 1 Pd 2.51
Ge 0.1900 0.5898 0.0000  1 Pd 2.43, 1 Ge 2.47, 1 Mn 2.58
Ge 0.6900 0.4102 0.5000  1 Pd 2.43, 1 Ge 2.47, 1 Mn 2.58
Pd 0.5000 0.3986 0.0000  6 Ge 2.43-2.65
Pd 0.0000 0.6014 0.5000  6 Ge 2.43-2.65
Mn 0.5000 0.0898 0.5000  4 Ge 2.29-2.41
Mn 0.0000 0.9102 0.0000  4 Ge 2.29-2.41

Values from the calculation:
Its space group is Pmmn, No. 59. As for the raw total energy: -115.0 eV per cell.

# 3
Ce3MnGe9Pt2 | GGA-PBE | optimized geometry

abc: 7.3606 7.3606 7.2065
angles: 90.00 90.00 120.00
Closest atoms and distances in Å follow each position.
Positions (direct):
Pt 0.3333 0.6667 0.2950  3 Ge 2.36
Pt 0.6667 0.3333 0.7050  3 Ge 2.36
Ge 0.8513 0.7026 0.6911  1 Mn 2.34, 1 Pt 2.36
Ge 0.1487 0.8513 0.3089  1 Mn 2.34, 1 Pt 2.36
Ge 0.2974 0.1487 0.6911  1 Mn 2.34, 1 Pt 2.36
Ge 0.5000 0.0000 0.0000  2 Pt 3.01, 2 Ce 3.05, 4 Ge 3.16
Ge 0.5000 0.5000 0.0000  2 Pt 3.01, 2 Ce 3.05, 4 Ge 3.16
Ge 0.8513 0.1487 0.6911  1 Mn 2.34, 1 Pt 2.36
Ge 0.1487 0.2974 0.3089  1 Mn 2.34, 1 Pt 2.36
Ge 0.0000 0.5000 0.0000  2 Pt 3.01, 2 Ce 3.05, 4 Ge 3.16
Ge 0.7026 0.8513 0.3089  1 Mn 2.34, 1 Pt 2.36
Ce 0.0000 0.0000 0.0000  6 Ge 2.92
Ce 0.6667 0.3333 0.3044  1 Pt 2.89, 3 Ge 3.05
Ce 0.3333 0.6667 0.6956  1 Pt 2.89, 3 Ge 3.05
Mn 0.0000 0.0000 0.5000  6 Ge 2.34

Values from the calculation:
Its space group is P-3m1, No. 164. As for the raw total energy: -84.1 eV per cell.

raw total energy of number 3 (Ce3MnGe9Pt2)? -84.1 eV per cell